Density functional theory data (PBE) for a relaxed BAs2BrO crystal.

Calculated values
Formation energy from raw total energies = 5.08 eV/f.u.
Energy above the lowest structure with this stoichiometry = 0 meV per atom

a = 4.0901 Å, b = 4.0901 Å, c = 6.4863 Å
α = 90.00°, β = 90.00°, γ = 90.00°
Space group P4/mmm (No. 123)
One atom of each set of equivalent atoms:
B1 0.0000 0.0000 0.0000 (multiplicity 1)
As1 0.0000 0.5000 0.5000 (multiplicity 2)
Br1 0.5000 0.5000 0.0000 (multiplicity 1)
O1 0.5000 0.5000 0.5000 (multiplicity 1)